Version P
Computed, not measured: a relaxed MgNbFeB2 crystal at the PBE level of DFT.

Computed properties:
Calculated density: 5.15 Mg/m³
SG: No. 123

Structure (POSCAR):
```
MgNbFeB2
1.0
3.816 0.000 0.000
0.000 3.816 0.000
0.000 0.000 4.315
Mg Nb Fe B
1 1 1 2
direct
0.000 0.000 0.000
0.500 0.500 0.000
0.000 0.000 0.500
0.000 0.500 0.500
0.500 0.000 0.500
```

---

Version Q
Computed, not measured: a relaxed MgNbFeB2 crystal at the PBE level of DFT.

Computed properties:
Calculated density: 3.74 Mg/m³
SG: No. 123

Structure (POSCAR):
```
MgNbFeB2
1.0
4.312 0.000 0.000
0.000 4.312 0.000
0.000 0.000 4.644
Mg Nb Fe B
1 1 1 2
direct
0.000 0.000 0.000
0.500 0.500 0.500
0.500 0.500 0.000
0.000 0.500 0.500
0.500 0.000 0.500
```

---

The calculated energies rank the structures as follows, beginning with the most stable: version P, version Q.